! GGA-PBE K2PtI6, optimized geometry; values from VASP
! Energy   -2.69 eV per atom
&SYSTEM
  ibrav = 0, nat = 18, ntyp = 3
/
ATOMIC_SPECIES
K 39.10 K.upf
Pt 195.08 Pt.upf
I 126.90 I.upf
ATOMIC_POSITIONS crystal
K 0.0000 0.5000 0.2500
K 0.0000 0.5000 0.7500
K 0.5000 0.0000 0.2500
K 0.5000 0.0000 0.7500
Pt 0.0000 0.0000 0.0000
Pt 0.5000 0.5000 0.5000
I 0.0000 0.0000 0.2286
I 0.0000 0.0000 0.7714
I 0.1933 0.2886 0.0000
I 0.2114 0.3067 0.5000
I 0.2886 0.8067 0.0000
I 0.3067 0.7886 0.5000
I 0.5000 0.5000 0.2714
I 0.5000 0.5000 0.7286
I 0.6933 0.2114 0.5000
I 0.7114 0.1933 0.0000
I 0.7886 0.6933 0.5000
I 0.8067 0.7114 0.0000
CELL_PARAMETERS angstrom
7.8201 0.0000 0.0000
0.0000 7.8201 0.0000
0.0000 0.0000 11.8655

---

! GGA-PBE KRb2TbI6, optimized geometry; values from VASP
! Energy   -3.11 eV per atom
&SYSTEM
  ibrav = 0, nat = 10, ntyp = 4
/
ATOMIC_SPECIES
K 39.10 K.upf
Rb 85.47 Rb.upf
Tb 158.93 Tb.upf
I 126.90 I.upf
ATOMIC_POSITIONS crystal
K 0.0000 0.0000 0.0000
Rb 0.2500 0.2500 0.2500
Rb 0.7500 0.7500 0.7500
Tb 0.5000 0.5000 0.5000
I 0.2630 0.2630 0.7370
I 0.2630 0.7370 0.2630
I 0.2630 0.7370 0.7370
I 0.7370 0.2630 0.2630
I 0.7370 0.2630 0.7370
I 0.7370 0.7370 0.2630
CELL_PARAMETERS angstrom
0.0000 6.3895 6.3895
6.3895 0.0000 6.3895
6.3895 6.3895 0.0000

---

! GGA-PBE K3SmI6, optimized geometry; values from VASP
! Energy above the most stable polymorph in this dataset   7 meV per atom
&SYSTEM
  ibrav = 0, nat = 10, ntyp = 3
/
ATOMIC_SPECIES
K 39.10 K.upf
Sm 150.36 Sm.upf
I 126.90 I.upf
ATOMIC_POSITIONS crystal
K 0.0000 0.0000 0.0000
K 0.2884 0.2884 0.2884
K 0.7116 0.7116 0.7116
Sm 0.5000 0.5000 0.5000
I 0.1526 0.7107 0.3845
I 0.2893 0.6155 0.8474
I 0.3845 0.1526 0.7107
I 0.6155 0.8474 0.2893
I 0.7107 0.3845 0.1526
I 0.8474 0.2893 0.6155
CELL_PARAMETERS angstrom
4.4946 2.5950 7.1730
-4.4946 2.5950 7.1730
0.0000 -5.1899 7.1730

---

! GGA-PBE K3SmI6, optimized geometry; values from VASP
! Energy above the most stable polymorph in this dataset   0 meV per atom
&SYSTEM
  ibrav = 0, nat = 20, ntyp = 3
/
ATOMIC_SPECIES
K 39.10 K.upf
Sm 150.36 Sm.upf
I 126.90 I.upf
ATOMIC_POSITIONS crystal
K 0.0000 0.0000 0.0000
K 0.0000 0.5000 0.5000
K 0.2065 0.0905 0.7439
K 0.2065 0.4095 0.2439
K 0.7935 0.5905 0.7561
K 0.7935 0.9095 0.2561
Sm 0.5000 0.0000 0.5000
Sm 0.5000 0.5000 0.0000
I 0.1398 0.1773 0.4368
I 0.1398 0.3227 0.9368
I 0.2596 0.7126 0.4230
I 0.2596 0.7874 0.9230
I 0.4086 0.0536 0.2677
I 0.4086 0.4464 0.7677
I 0.5914 0.5536 0.2323
I 0.5914 0.9464 0.7323
I 0.7404 0.2126 0.0770
I 0.7404 0.2874 0.5770
I 0.8602 0.6773 0.0632
I 0.8602 0.8227 0.5632
CELL_PARAMETERS angstrom
8.4480 0.0000 0.0000
0.0000 9.1059 0.0000
-8.2219 0.0000 12.2543

---

! GGA-PBE KSmTl2I6, optimized geometry; values from VASP
! Energy   -2.98 eV per atom
&SYSTEM
  ibrav = 0, nat = 10, ntyp = 4
/
ATOMIC_SPECIES
K 39.10 K.upf
Sm 150.36 Sm.upf
Tl 204.38 Tl.upf
I 126.90 I.upf
ATOMIC_POSITIONS crystal
K 0.0000 0.0000 0.0000
Sm 0.5000 0.5000 0.5000
Tl 0.2500 0.2500 0.2500
Tl 0.7500 0.7500 0.7500
I 0.2603 0.2603 0.7397
I 0.2603 0.7397 0.2603
I 0.2603 0.7397 0.7397
I 0.7397 0.2603 0.2603
I 0.7397 0.2603 0.7397
I 0.7397 0.7397 0.2603
CELL_PARAMETERS angstrom
0.0000 6.3822 6.3822
6.3822 0.0000 6.3822
6.3822 6.3822 0.0000

---

! GGA-PBE KTbTl2I6, optimized geometry; values from VASP
! Energy   -2.97 eV per atom
&SYSTEM
  ibrav = 0, nat = 10, ntyp = 4
/
ATOMIC_SPECIES
K 39.10 K.upf
Tb 158.93 Tb.upf
Tl 204.38 Tl.upf
I 126.90 I.upf
ATOMIC_POSITIONS crystal
K 0.0000 0.0000 0.0000
Tb 0.5000 0.5000 0.5000
Tl 0.2500 0.2500 0.2500
Tl 0.7500 0.7500 0.7500
I 0.2617 0.2617 0.7383
I 0.2617 0.7383 0.2617
I 0.2617 0.7383 0.7383
I 0.7383 0.2617 0.2617
I 0.7383 0.2617 0.7383
I 0.7383 0.7383 0.2617
CELL_PARAMETERS angstrom
0.0000 6.3329 6.3329
6.3329 0.0000 6.3329
6.3329 6.3329 0.0000

---

! GGA-PBE K2ZnI4, optimized geometry; values from VASP
! Energy   -2.49 eV per atom
&SYSTEM
  ibrav = 0, nat = 14, ntyp = 3
/
ATOMIC_SPECIES
K 39.10 K.upf
Zn 65.41 Zn.upf
I 126.90 I.upf
ATOMIC_POSITIONS crystal
K 0.2244 0.2500 0.0556
K 0.2529 0.2500 0.5632
K 0.7471 0.7500 0.4368
K 0.7756 0.7500 0.9444
Zn 0.2263 0.7500 0.8029
Zn 0.7737 0.2500 0.1971
I 0.0078 0.0004 0.7446
I 0.0078 0.4996 0.7446
I 0.4079 0.7500 0.0772
I 0.4168 0.7500 0.6256
I 0.5832 0.2500 0.3744
I 0.5921 0.2500 0.9228
I 0.9922 0.9996 0.2554
I 0.9922 0.5004 0.2554
CELL_PARAMETERS angstrom
8.0297 0.0000 0.0000
0.0000 8.2311 0.0000
-2.9827 0.0000 9.2826

---

! GGA-PBE K3ZnI6, optimized geometry; values from VASP
! Energy   -2.32 eV per atom
&SYSTEM
  ibrav = 0, nat = 10, ntyp = 3
/
ATOMIC_SPECIES
K 39.10 K.upf
Zn 65.41 Zn.upf
I 126.90 I.upf
ATOMIC_POSITIONS crystal
K 0.0000 0.0000 0.0000
K 0.2367 0.2846 0.2441
K 0.7633 0.7154 0.7559
Zn 0.5000 0.5000 0.5000
I 0.1734 0.7871 0.3614
I 0.2767 0.6156 0.8294
I 0.3241 0.2112 0.6385
I 0.6759 0.7888 0.3615
I 0.7233 0.3844 0.1706
I 0.8266 0.2129 0.6386
CELL_PARAMETERS angstrom
7.2734 0.0000 0.0000
3.6181 7.3222 0.0000
3.6347 2.5455 8.0480

---

! GGA-PBE K2ZnI4, optimized geometry; values from VASP
! Energy   -2.49 eV per atom
&SYSTEM
  ibrav = 0, nat = 14, ntyp = 3
/
ATOMIC_SPECIES
K 39.10 K.upf
Zn 65.41 Zn.upf
I 126.90 I.upf
ATOMIC_POSITIONS crystal
K 0.2144 0.0000 0.0499
K 0.2669 0.9972 0.5710
K 0.7331 0.4972 0.4290
K 0.7856 0.5000 0.9501
Zn 0.2192 0.5168 0.7971
Zn 0.7808 0.0168 0.2029
I 0.0079 0.2568 0.7393
I 0.0136 0.2624 0.2674
I 0.4003 0.5312 0.0733
I 0.4221 0.5288 0.6293
I 0.5779 0.0288 0.3707
I 0.5997 0.0312 0.9267
I 0.9864 0.7624 0.7326
I 0.9921 0.7568 0.2606
CELL_PARAMETERS angstrom
7.8861 0.0000 0.0000
0.0000 8.1549 0.0000
-3.0906 0.0000 9.2901

---

! GGA-PBE KZr6I14, optimized geometry; values from VASP
! Energy   -4.06 eV per atom
&SYSTEM
  ibrav = 0, nat = 42, ntyp = 3
/
ATOMIC_SPECIES
K 39.10 K.upf
Zr 91.22 Zr.upf
I 126.90 I.upf
ATOMIC_POSITIONS crystal
K 0.0000 0.0000 0.0000
K 0.5000 0.5000 0.5000
Zr 0.0496 0.1743 0.8456
Zr 0.1289 0.8711 0.8490
Zr 0.1743 0.0496 0.1544
Zr 0.3257 0.4504 0.6544
Zr 0.3711 0.6289 0.3490
Zr 0.4504 0.3257 0.3456
Zr 0.5496 0.6743 0.6544
Zr 0.6289 0.3711 0.6510
Zr 0.6743 0.5496 0.3456
Zr 0.8257 0.9504 0.8456
Zr 0.8711 0.1289 0.1510
Zr 0.9504 0.8257 0.1544
I 0.0372 0.2196 0.2781
I 0.1005 0.3995 0.7500
I 0.1015 0.6794 0.0035
I 0.1688 0.8312 0.2718
I 0.1794 0.6015 0.5035
I 0.2196 0.0372 0.7219
I 0.2242 0.2242 0.0000
I 0.2758 0.2758 0.5000
I 0.2804 0.4628 0.2219
I 0.3206 0.8985 0.0035
I 0.3312 0.6688 0.7718
I 0.3995 0.1005 0.2500
I 0.3985 0.8206 0.5035
I 0.4628 0.2804 0.7781
I 0.5372 0.7196 0.2219
I 0.6015 0.1794 0.4965
I 0.6005 0.8995 0.7500
I 0.6688 0.3312 0.2282
I 0.6794 0.1015 0.9965
I 0.7196 0.5372 0.7781
I 0.7242 0.7242 0.5000
I 0.7758 0.7758 0.0000
I 0.7804 0.9628 0.2781
I 0.8206 0.3985 0.4965
I 0.8312 0.1688 0.7282
I 0.8985 0.3206 0.9965
I 0.8995 0.6005 0.2500
I 0.9628 0.7804 0.7219
CELL_PARAMETERS angstrom
8.2637 -7.2674 0.0000
8.2637 7.2674 0.0000
0.0000 0.0000 14.4502

---

! GGA-PBE LiLa6OsI12, optimized geometry; values from VASP
! Energy   -3.86 eV per atom
&SYSTEM
  ibrav = 0, nat = 20, ntyp = 4
/
ATOMIC_SPECIES
Li 6.94 Li.upf
La 138.91 La.upf
Os 190.23 Os.upf
I 126.90 I.upf
ATOMIC_POSITIONS crystal
Li 0.0000 0.0000 0.0000
La 0.1716 0.6896 0.6404
La 0.3104 0.3596 0.8284
La 0.3596 0.8284 0.3104
La 0.6404 0.1716 0.6896
La 0.6896 0.6404 0.1716
La 0.8284 0.3104 0.3596
Os 0.5000 0.5000 0.5000
I 0.0105 0.5726 0.2414
I 0.1989 0.3648 0.4831
I 0.2414 0.0105 0.5726
I 0.3648 0.4831 0.1989
I 0.4274 0.7586 0.9895
I 0.4831 0.1989 0.3648
I 0.5169 0.8011 0.6352
I 0.5726 0.2414 0.0105
I 0.6352 0.5169 0.8011
I 0.7586 0.9895 0.4274
I 0.8011 0.6352 0.5169
I 0.9895 0.4274 0.7586
CELL_PARAMETERS angstrom
7.9205 4.5729 3.6220
-7.9205 4.5729 3.6220
0.0000 -9.1458 3.6220

---

! GGA-PBE LaNd3I2N2, optimized geometry; values from VASP
! Energy   -6.11 eV per atom
&SYSTEM
  ibrav = 0, nat = 8, ntyp = 4
/
ATOMIC_SPECIES
La 138.91 La.upf
Nd 144.24 Nd.upf
I 126.90 I.upf
N 14.01 N.upf
ATOMIC_POSITIONS crystal
La 0.0000 0.0000 0.0000
Nd 0.0000 0.0000 0.3299
Nd 0.3333 0.6667 0.4995
Nd 0.3333 0.6667 0.8260
I 0.0000 0.0000 0.6625
I 0.3333 0.6667 0.1688
N 0.6667 0.3333 0.4146
N 0.6667 0.3333 0.9090
CELL_PARAMETERS angstrom
3.8114 0.0000 0.0000
-1.9057 3.3007 0.0000
0.0000 0.0000 15.2829

---

! GGA-PBE LaPrIN, optimized geometry; values from VASP
! Energy   -6.15 eV per atom
&SYSTEM
  ibrav = 0, nat = 8, ntyp = 4
/
ATOMIC_SPECIES
La 138.91 La.upf
Pr 140.91 Pr.upf
I 126.90 I.upf
N 14.01 N.upf
ATOMIC_POSITIONS crystal
La 0.0000 0.0000 0.1661
La 0.0000 0.0000 0.8339
Pr 0.3333 0.6667 0.3386
Pr 0.3333 0.6667 0.6614
I 0.0000 0.0000 0.5000
I 0.3333 0.6667 0.0000
N 0.6667 0.3333 0.2531
N 0.6667 0.3333 0.7469
CELL_PARAMETERS angstrom
3.8388 0.0000 0.0000
-1.9194 3.3245 0.0000
0.0000 0.0000 15.4751

---

! GGA-PBE LaPrI3N, optimized geometry; values from VASP
! Energy above the most stable polymorph in this dataset   12 meV per atom
&SYSTEM
  ibrav = 0, nat = 12, ntyp = 4
/
ATOMIC_SPECIES
La 138.91 La.upf
Pr 140.91 Pr.upf
I 126.90 I.upf
N 14.01 N.upf
ATOMIC_POSITIONS crystal
La 0.0718 0.0718 0.4613
La 0.9282 0.9282 0.5387
Pr 0.3675 0.3675 0.2239
Pr 0.6325 0.6325 0.7761
I 0.1675 0.1675 0.0073
I 0.2783 0.2783 0.3725
I 0.4648 0.4648 0.7612
I 0.5352 0.5352 0.2388
I 0.7217 0.7217 0.6275
I 0.8325 0.8325 0.9927
N 0.0707 0.0707 0.6458
N 0.9293 0.9293 0.3542
CELL_PARAMETERS angstrom
10.0957 -2.0928 0.0000
10.0957 2.0928 0.0000
-7.3692 0.0000 10.4297

---

! GGA-PBE LaPrIN, optimized geometry; values from VASP
! Energy   -6.15 eV per atom
&SYSTEM
  ibrav = 0, nat = 8, ntyp = 4
/
ATOMIC_SPECIES
La 138.91 La.upf
Pr 140.91 Pr.upf
I 126.90 I.upf
N 14.01 N.upf
ATOMIC_POSITIONS crystal
La 0.3333 0.6667 0.0873
La 0.6667 0.3333 0.9127
Pr 0.3333 0.6667 0.4149
Pr 0.6667 0.3333 0.5851
I 0.3333 0.6667 0.7467
I 0.6667 0.3333 0.2533
N 0.0000 0.0000 0.0000
N 0.0000 0.0000 0.5000
CELL_PARAMETERS angstrom
3.8390 0.0000 0.0000
-1.9195 3.3246 0.0000
0.0000 0.0000 15.4751

---

! GGA-PBE LaPrI3N, optimized geometry; values from VASP
! Energy above the most stable polymorph in this dataset   0 meV per atom
&SYSTEM
  ibrav = 0, nat = 12, ntyp = 4
/
ATOMIC_SPECIES
La 138.91 La.upf
Pr 140.91 Pr.upf
I 126.90 I.upf
N 14.01 N.upf
ATOMIC_POSITIONS crystal
La 0.1319 0.1319 0.2752
La 0.8681 0.8681 0.7248
Pr 0.4301 0.4301 0.0375
Pr 0.5699 0.5699 0.9625
I 0.0356 0.0356 0.7469
I 0.2160 0.2160 0.1231
I 0.3323 0.3323 0.4935
I 0.6677 0.6677 0.5065
I 0.7840 0.7840 0.8769
I 0.9644 0.9644 0.2531
N 0.4285 0.4285 0.8522
N 0.5715 0.5715 0.1478
CELL_PARAMETERS angstrom
10.3336 -2.0920 0.0000
10.3336 2.0920 0.0000
-7.6239 0.0000 10.4778

---

! GGA-PBE LaPuI3N, optimized geometry; values from VASP
! Energy   -6.77 eV per atom
&SYSTEM
  ibrav = 0, nat = 12, ntyp = 4
/
ATOMIC_SPECIES
La 138.91 La.upf
Pu 244.00 Pu.upf
I 126.90 I.upf
N 14.01 N.upf
ATOMIC_POSITIONS crystal
La 0.1299 0.1299 0.2719
La 0.8701 0.8701 0.7281
Pu 0.4318 0.4318 0.0365
Pu 0.5682 0.5682 0.9635
I 0.0374 0.0374 0.7491
I 0.2148 0.2148 0.1202
I 0.3334 0.3334 0.4935
I 0.6666 0.6666 0.5065
I 0.7852 0.7852 0.8798
I 0.9626 0.9626 0.2509
N 0.4347 0.4347 0.8643
N 0.5653 0.5653 0.1357
CELL_PARAMETERS angstrom
10.1558 -2.0758 0.0000
10.1558 2.0758 0.0000
-7.4295 0.0000 10.3183

---

! GGA-PBE LaSmIN, optimized geometry; values from VASP
! Energy above the most stable polymorph in this dataset   0 meV per atom
&SYSTEM
  ibrav = 0, nat = 8, ntyp = 4
/
ATOMIC_SPECIES
La 138.91 La.upf
Sm 150.36 Sm.upf
I 126.90 I.upf
N 14.01 N.upf
ATOMIC_POSITIONS crystal
La 0.0000 0.0000 0.1668
La 0.0000 0.0000 0.8332
Sm 0.3333 0.6667 0.3386
Sm 0.3333 0.6667 0.6614
I 0.0000 0.0000 0.5000
I 0.3333 0.6667 0.0000
N 0.6667 0.3333 0.2629
N 0.6667 0.3333 0.7371
CELL_PARAMETERS angstrom
3.8017 0.0000 0.0000
-1.9008 3.2923 0.0000
0.0000 0.0000 15.2841

---

! GGA-PBE LaSm3I2N2, optimized geometry; values from VASP
! Energy   -6.10 eV per atom
&SYSTEM
  ibrav = 0, nat = 8, ntyp = 4
/
ATOMIC_SPECIES
La 138.91 La.upf
Sm 150.36 Sm.upf
I 126.90 I.upf
N 14.01 N.upf
ATOMIC_POSITIONS crystal
La 0.0000 0.0000 0.0000
Sm 0.0000 0.0000 0.3305
Sm 0.3333 0.6667 0.4984
Sm 0.3333 0.6667 0.8255
I 0.0000 0.0000 0.6607
I 0.3333 0.6667 0.1711
N 0.6667 0.3333 0.4144
N 0.6667 0.3333 0.9023
CELL_PARAMETERS angstrom
3.7721 0.0000 0.0000
-1.8861 3.2667 0.0000
0.0000 0.0000 15.1315